The following is a DFT calculation (GGA-PBEsol) of an optimized crystal structure of AlCd3Ge.

Unit cell a=5.1067 b=5.1067 c=5.1067 alpha=90.00 beta=90.00 gamma=90.00
Last column: nearest neighbours and their distance in Å.
Atoms (fractional coordinates):
Al (0.5000, 0.5000, 0.5000)  12 Cd 3.61
Cd (0.0000, 0.0000, 0.5000)  2 Ge 2.55
Cd (0.0000, 0.5000, 0.0000)  2 Ge 2.55
Cd (0.5000, 0.0000, 0.0000)  2 Ge 2.55
Ge (0.0000, 0.0000, 0.0000)  6 Cd 2.55

Computed properties:
Energy   -0.0716 hartree per atom
V   133.17 Å³/cell
Calculated formation energy   0.575 eV per atom
SG   Pm-3m